AcPuMoO6 | Alexandria via LeMat-Bulk | PBE+U | optimized geometry; symmetry = P-31c; calculated total energy = -8.5238 eV per atom; magnetization = 10.000 Bohr magnetons per cell
1.0
5.9161 0.0000 0.0000
-2.9580 5.1235 0.0000
0.0000 0.0000 8.7092
O Ac Mo Pu
12 2 2 2
direct
0.3459 0.2918 0.3802
0.3459 0.0541 0.1198
0.2918 0.3459 0.8802
0.7082 0.0541 0.3802
0.0541 0.7082 0.8802
0.9459 0.2918 0.1198
0.9459 0.6541 0.3802
0.2918 0.9459 0.6198
0.6541 0.7082 0.6198
0.7082 0.6541 0.1198
0.6541 0.9459 0.8802
0.0541 0.3459 0.6198
0.6667 0.3333 0.7500
0.3333 0.6667 0.2500
0.0000 0.0000 0.5000
0.0000 0.0000 0.0000
0.6667 0.3333 0.2500
0.3333 0.6667 0.7500